Record 1
First-principles (GGA-PBE) data for a relaxed PmSm3Hg2C crystal, as listed in the Alexandria database.

Cell lengths 5.0602, 5.0951, 15.0557 Å; angles 90.00, 90.00, 90.00 degrees
Last column: nearest neighbours and their distance in Å.
Space group Immm (No. 71)
Inequivalent atoms, fractional coordinates:
Pm  0.0000  0.0000  0.0000  2 C 2.55
Sm  0.0000  0.0000  0.5000  2 C 2.53
Sm  0.0000  0.5000  0.1670  1 C 2.51
Hg  0.0000  0.5000  0.3702  3 Sm 3.06-3.21, 2 Pm 3.20
C  0.0000  0.5000  0.0000  4 Sm 2.51-2.53, 2 Pm 2.55

Calculated values
**E**: -4.389 eV per atom
**Formation energy from the elements**: -0.284 eV/atom

***

Record 2
First-principles (GGA-PBE) data for a relaxed Y3CdO crystal, as listed in the Alexandria database.

Cell lengths 3.7930, 3.7930, 20.6532 Å; angles 90.00, 90.00, 120.00 degrees
Last column: nearest neighbours and their distance in Å.
Space group P6_3/mmc (No. 194)
Inequivalent atoms, fractional coordinates:
Y  0.0000  0.0000  0.2500  3 O 2.19
Y  0.3333  0.6667  0.1154  1 O 2.78
Cd  0.0000  0.0000  0.0000  6 Y 3.24
O  0.3333  0.6667  0.2500  3 Y 2.19

Calculated values
**E**: -6.211 eV per atom
**Formation energy without anion corrections**: -26.7 kcal/mol of atoms

***

Record 3
First-principles (GGA-PBE) data for a relaxed Ca3PrNp2N6 crystal, as listed in the Alexandria database.

Cell lengths 15.3031, 3.5388, 7.0613 Å; angles 90.00, 102.94, 90.00 degrees
Last column: nearest neighbours and their distance in Å.
Space group C2/m (No. 12)
Inequivalent atoms, fractional coordinates:
Ca  0.0000  0.0000  0.0000  6 N 2.50-2.67
Ca  0.1689  0.5000  0.3329  5 N 2.43-2.67
Pr  0.0000  0.0000  0.5000  6 N 2.52-2.53
Np  0.1672  0.5000  0.8341  6 N 2.19-2.40
N  0.0206  0.5000  0.7631  1 Np 2.19
N  0.1684  0.0000  0.6163  2 Np 2.35, 1 Ca 2.43, 1 Pr 2.52
N  0.1788  0.0000  0.0676  3 Np 2.30-2.40

Calculated values
**E**: -8.389 eV per atom
**Formation energy without anion corrections**: -27.0 kcal/mol of atoms

***

Record 4
First-principles (GGA-PBE) data for a relaxed Pr12Dy3Cd crystal, as listed in the Alexandria database.

Cell lengths 5.1361, 5.1361, 20.7477 Å; angles 90.00, 90.00, 90.00 degrees
Last column: nearest neighbours and their distance in Å.
Space group P4/mmm (No. 123)
Inequivalent atoms, fractional coordinates:
Pr  0.0000  0.0000  0.0000  8 Pr 3.60, 4 Cd 3.63
Pr  0.0000  0.0000  0.2465  4 Dy 3.63, 8 Pr 3.64-3.68
Pr  0.0000  0.0000  0.5000  4 Dy 3.63, 8 Pr 3.67
Pr  0.0000  0.5000  0.1219  2 Cd 3.60, 8 Pr 3.60-3.64, 2 Dy 3.66
Pr  0.0000  0.5000  0.3738  8 Pr 3.63-3.68, 4 Dy 3.66-3.67
Dy  0.5000  0.5000  0.2478  12 Pr 3.63-3.66
Dy  0.5000  0.5000  0.5000  12 Pr 3.63-3.67
Cd  0.5000  0.5000  0.0000  12 Pr 3.60-3.63

Calculated values
**E**: -4.519 eV per atom
**Formation energy from the elements**: -0.014 eV/atom

***

Record 5
First-principles (GGA-PBE) data for a relaxed SrAl3Si3 crystal, as listed in the Alexandria database.

Cell lengths 6.9844, 6.9844, 6.9844 Å; angles 90.00, 90.00, 90.00 degrees
Last column: nearest neighbours and their distance in Å.
Space group Pm-3n (No. 223)
Inequivalent atoms, fractional coordinates:
Sr  0.0000  0.0000  0.0000  12 Al 3.90, 12 Si 3.90
Al  0.0000  0.2500  0.5000  4 Si 2.47
Si  0.0000  0.5000  0.2500  4 Al 2.47

Calculated values
**E**: -4.163 eV per atom
**Formation energy without anion corrections**: 0.1 kcal/mol of atoms

***

Record 6
First-principles (GGA-PBE) data for a relaxed NpAlRu crystal, as listed in the Alexandria database.

Cell lengths 3.0469, 3.0469, 11.4212 Å; angles 90.00, 90.00, 90.00 degrees
Last column: nearest neighbours and their distance in Å.
Space group I4mm (No. 107)
Inequivalent atoms, fractional coordinates:
Np  0.0000  0.0000  0.0000  4 Ru 2.89, 4 Np 3.05, 4 Al 3.21
Al  0.0000  0.0000  0.2914  4 Ru 2.57
Ru  0.0000  0.0000  0.6687  4 Al 2.57

Calculated values
**E**: -8.869 eV per atom
**Formation energy from the elements**: -0.216 eV/atom

***

Record 7
First-principles (GGA-PBE) data for a relaxed KNi2Ir crystal, as listed in the Alexandria database.

Cell lengths 8.4989, 2.6969, 6.7330 Å; angles 90.00, 97.43, 90.00 degrees
Last column: nearest neighbours and their distance in Å.
Space group Cm (No. 8)
Inequivalent atoms, fractional coordinates:
K  0.0000  0.0000  0.0000  2 K 2.70
Ni  0.0063  0.5000  0.4864  4 Ni 2.45-2.70, 3 Ir 2.45-2.48
Ni  0.2238  0.0000  0.6552  2 Ir 2.42, 4 Ni 2.45-2.70
Ir  0.2720  0.5000  0.3700  5 Ni 2.42-2.48, 2 Ir 2.70

Calculated values
**E**: -4.844 eV per atom
**Formation energy from the elements**: 0.536 eV/atom

***

Record 8
First-principles (GGA-PBE) data for a relaxed Tb5Pm4Nd crystal, as listed in the Alexandria database.

Cell lengths 25.7548, 3.6127, 7.2139 Å; angles 90.00, 98.06, 90.00 degrees
Last column: nearest neighbours and their distance in Å.
Space group C2/m (No. 12)
Inequivalent atoms, fractional coordinates:
Tb  0.0000  0.0000  0.0000  2 Nd 3.61, 2 Tb 3.61, 8 Pm 3.63
Tb  0.2011  0.0000  0.1003  8 Tb 3.57-3.61, 4 Pm 3.60
Tb  0.2012  0.0000  0.6008  8 Tb 3.57-3.61, 4 Pm 3.61
Pm  0.1013  0.5000  0.2995  4 Pm 3.59-3.63, 6 Tb 3.60-3.63, 2 Nd 3.64
Pm  0.1013  0.5000  0.8022  4 Pm 3.59-3.63, 6 Tb 3.60-3.63, 2 Nd 3.64
Nd  0.0000  0.0000  0.5000  2 Tb 3.61, 2 Nd 3.61, 8 Pm 3.64

Calculated values
**E**: -4.679 eV per atom
**Formation energy from the elements**: 0.013 eV/atom

***

For reference, density of states at the Fermi level by record: 0.97, 0.95, 0.91, 1.40, 0.42, 1.80, 1.38, 1.27 states/eV per atom.